K3Mo5F12: relaxed, PBE with a Hubbard U. Values from VASP.

Geometry as Quantum ESPRESSO input:
```
&SYSTEM
  ibrav = 0, nat = 80, ntyp = 3
/
ATOMIC_SPECIES
K 39.10 K.upf
Mo 95.94 Mo.upf
F 19.00 F.upf
CELL_PARAMETERS angstrom
-7.287 7.287 7.287
7.287 -7.287 7.287
7.287 7.287 -7.287
ATOMIC_POSITIONS angstrom
K 3.644 1.822 0.000
K 7.287 3.644 -1.822
K 1.822 0.000 3.644
K 9.109 0.000 3.644
K 0.000 3.644 1.822
K 3.644 -1.822 7.287
K 3.644 9.109 0.000
K 7.287 3.644 5.465
K -1.822 7.287 3.644
K 5.465 7.287 3.644
K 0.000 3.644 9.109
K 3.644 5.465 7.287
Mo 0.000 0.000 0.000
Mo 3.644 3.644 -3.644
Mo 3.644 -3.644 3.644
Mo 7.287 0.000 0.000
Mo 10.931 1.822 0.000
Mo 7.287 -3.644 5.465
Mo 5.465 7.287 -3.644
Mo 5.465 0.000 3.644
Mo 3.644 5.465 0.000
Mo 7.287 3.644 1.822
Mo -3.644 3.644 3.644
Mo 0.000 7.287 0.000
Mo 0.000 0.000 7.287
Mo 3.644 3.644 3.644
Mo 0.000 3.644 5.465
Mo 3.644 1.822 7.287
Mo 1.822 7.287 3.644
Mo 1.822 0.000 10.931
Mo 0.000 10.931 1.822
Mo -3.644 5.465 7.287
F 1.902 -0.389 0.836
F 9.029 4.479 -4.032
F 6.899 -0.836 1.902
F 11.320 -1.742 2.808
F 9.189 0.389 0.836
F 9.029 -2.808 4.032
F 0.836 1.902 -0.389
F 10.095 3.255 -1.742
F 4.479 4.032 -1.742
F 6.452 1.902 0.389
F -0.389 0.836 1.902
F 4.032 -1.742 4.479
F 6.899 6.452 -1.902
F 4.032 1.742 2.808
F 6.452 -1.902 6.899
F 4.479 -4.032 9.029
F 2.808 4.032 1.742
F 8.123 5.385 0.389
F 1.902 6.899 -0.836
F 9.029 2.808 3.255
F 4.032 9.029 -2.808
F 6.899 0.836 5.385
F 1.742 2.808 4.032
F 1.902 0.389 6.452
F 5.385 6.899 0.836
F 5.546 4.479 3.255
F 0.389 6.452 1.902
F 3.255 -1.742 10.095
F -1.742 4.479 4.032
F 5.385 0.389 8.123
F -0.836 1.902 6.899
F 4.479 3.255 5.546
F 2.808 11.320 -1.742
F 0.836 9.189 0.389
F 3.255 5.546 4.479
F 0.389 0.836 9.189
F 3.255 9.029 2.808
F 7.676 6.452 5.385
F 0.836 5.385 6.899
F 2.808 3.255 9.029
F -2.808 4.032 9.029
F 6.452 5.385 7.676
F -1.742 10.095 3.255
F -1.902 6.899 6.452
F -4.032 9.029 4.479
F 0.389 8.123 5.385
F -1.742 2.808 11.320
F 5.385 7.676 6.452
```

Summary:
Total DFT energy (no corrections) in eV per atom: -5.0462
SG: No. 230

=====

KMoF6: relaxed, PBE with a Hubbard U. Values from VASP.

Geometry as Quantum ESPRESSO input:
```
&SYSTEM
  ibrav = 0, nat = 8, ntyp = 3
/
ATOMIC_SPECIES
K 39.10 K.upf
Mo 95.94 Mo.upf
F 19.00 F.upf
CELL_PARAMETERS angstrom
2.783 1.607 5.240
-2.783 1.607 5.240
0.000 -3.213 5.240
ATOMIC_POSITIONS angstrom
K 0.000 0.000 0.000
Mo 0.000 0.000 7.860
F -1.342 -0.775 6.717
F 0.000 -1.549 9.004
F -1.342 0.775 9.004
F 1.342 -0.775 6.717
F 0.000 1.549 6.717
F 1.342 0.775 9.004
```

Summary:
ΔE to the lowest computed polymorph in meV per atom: 101
SG: No. 166

=====

KMo3F: relaxed, PBE with a Hubbard U. Values from VASP.

Geometry as Quantum ESPRESSO input:
```
&SYSTEM
  ibrav = 0, nat = 5, ntyp = 3
/
ATOMIC_SPECIES
K 39.10 K.upf
Mo 95.94 Mo.upf
F 19.00 F.upf
CELL_PARAMETERS angstrom
6.302 0.000 0.000
0.000 6.302 0.000
0.000 0.000 6.302
ATOMIC_POSITIONS angstrom
K 0.000 0.000 0.000
Mo 0.000 0.000 3.151
Mo 0.000 3.151 0.000
Mo 3.151 0.000 0.000
F 3.151 3.151 3.151
```

Summary:
ΔE to the lowest computed polymorph in meV per atom: 1009
SG: No. 221

=====

KMoF6: relaxed, PBE with a Hubbard U. Values from VASP.

Geometry as Quantum ESPRESSO input:
```
&SYSTEM
  ibrav = 0, nat = 8, ntyp = 3
/
ATOMIC_SPECIES
K 39.10 K.upf
Mo 95.94 Mo.upf
F 19.00 F.upf
CELL_PARAMETERS angstrom
3.357 -3.866 0.000
3.357 3.866 0.000
-0.965 0.000 5.140
ATOMIC_POSITIONS angstrom
K 0.000 0.000 0.000
Mo 2.875 0.000 2.570
F 2.530 1.360 1.240
F 1.034 0.000 3.084
F 3.220 1.360 3.901
F 2.530 -1.360 1.240
F 4.716 0.000 2.056
F 3.220 -1.360 3.901
```

Summary:
ΔE to the lowest computed polymorph in meV per atom: 0
SG: No. 12

=====

KMoF2: relaxed, PBE with a Hubbard U. Values from VASP.

Geometry as Quantum ESPRESSO input:
```
&SYSTEM
  ibrav = 0, nat = 4, ntyp = 3
/
ATOMIC_SPECIES
K 39.10 K.upf
Mo 95.94 Mo.upf
F 19.00 F.upf
CELL_PARAMETERS angstrom
0.000 3.252 3.252
3.252 0.000 3.252
3.252 3.252 0.000
ATOMIC_POSITIONS angstrom
K 0.000 0.000 0.000
Mo 3.252 3.252 3.252
F 1.626 1.626 1.626
F 4.878 4.878 4.878
```

Summary:
ΔE to the lowest computed polymorph in meV per atom: 448
SG: No. 225

=====

K2MoF: relaxed, PBE with a Hubbard U. Values from VASP.

Geometry as Quantum ESPRESSO input:
```
&SYSTEM
  ibrav = 0, nat = 8, ntyp = 3
/
ATOMIC_SPECIES
K 39.10 K.upf
Mo 95.94 Mo.upf
F 19.00 F.upf
CELL_PARAMETERS angstrom
-3.985 3.985 4.874
3.985 -3.985 4.874
3.985 3.985 -4.874
ATOMIC_POSITIONS angstrom
K -0.959 1.993 1.218
K 1.993 3.026 3.655
K 0.959 5.978 1.218
K -1.993 4.944 3.655
Mo 3.985 0.000 2.437
Mo 0.000 0.000 4.874
F 0.000 0.000 0.000
F 0.000 3.985 2.437
```

Summary:
ΔE to the lowest computed polymorph in meV per atom: 0
SG: No. 122

=====

K3MoF8: relaxed, PBE with a Hubbard U. Values from VASP.

Geometry as Quantum ESPRESSO input:
```
&SYSTEM
  ibrav = 0, nat = 12, ntyp = 3
/
ATOMIC_SPECIES
K 39.10 K.upf
Mo 95.94 Mo.upf
F 19.00 F.upf
CELL_PARAMETERS angstrom
-2.937 2.937 5.785
2.937 -2.937 5.785
2.937 2.937 -5.785
ATOMIC_POSITIONS angstrom
K 0.000 0.000 0.000
K 2.937 0.000 2.893
K 0.000 2.937 2.893
Mo 0.000 0.000 5.785
F 1.752 1.752 -1.204
F 1.186 -1.186 4.582
F 1.752 1.752 1.204
F 1.186 -1.186 6.989
F -1.186 1.186 4.582
F 1.186 1.186 4.582
F -1.186 1.186 6.989
F 1.186 1.186 6.989
```

Summary:
ΔE to the lowest computed polymorph in meV per atom: 0
SG: No. 139

=====

KMoF2: relaxed, PBE with a Hubbard U. Values from VASP.

Geometry as Quantum ESPRESSO input:
```
&SYSTEM
  ibrav = 0, nat = 8, ntyp = 3
/
ATOMIC_SPECIES
K 39.10 K.upf
Mo 95.94 Mo.upf
F 19.00 F.upf
CELL_PARAMETERS angstrom
-3.219 3.219 4.240
3.219 -3.219 4.240
3.219 3.219 -4.240
ATOMIC_POSITIONS angstrom
K 0.000 0.000 0.000
K 0.000 3.219 2.120
Mo 3.219 0.000 2.120
Mo 0.000 0.000 4.240
F 1.609 -1.450 3.180
F 1.769 1.609 1.060
F 1.609 4.669 -1.060
F 1.450 1.609 5.300
```

Summary:
ΔE to the lowest computed polymorph in meV per atom: 319
SG: No. 122